Compound: BePt3
Source: Alexandria via LeMat-Bulk
Functional: PBE
Structure: optimized geometry

Properties
* V: 14.5 Å³/atom
* DFT formation energy: -0.2646 eV/atom
* space-group type: Pmm2 (25)

a = 2.7529 Å, b = 2.7484 Å, c = 7.6398 Å
α = 90.00°, β = 90.00°, γ = 90.00°
With the nearest neighbours (Å) after each atom.
Element x y z (fractional)
Pt 0.5000 0.5000 0.1510  4 Be 2.35
Pt 0.0000 0.5000 0.4647  10 Pt 2.75-2.86
Be 0.0000 0.0000 0.9785  6 Pt 2.29-2.35
Pt 0.5000 0.0000 0.7392  2 Be 2.29

***

Compound: RbCd3S
Source: Alexandria via LeMat-Bulk
Functional: PBE
Structure: optimized geometry

Properties
* energy above the most stable polymorph in this dataset: 14.09 kcal/mol of atoms
* V: 64.9 Å³/atom
* space-group type: Pm-3m (221)

a = 6.8719 Å, b = 6.8719 Å, c = 6.8719 Å
α = 90.00°, β = 90.00°, γ = 90.00°
With the nearest neighbours (Å) after each atom.
Element x y z (fractional)
Cd 0.0000 0.5000 0.0000  2 Rb 3.44
Cd 0.5000 0.0000 0.0000  2 Rb 3.44
Cd 0.0000 0.0000 0.5000  2 Rb 3.44
S 0.5000 0.5000 0.5000  12 Cd 4.86
Rb 0.0000 0.0000 0.0000  6 Cd 3.44

***

Compound: TbTm5Th4
Source: Alexandria via LeMat-Bulk
Functional: PBE
Structure: optimized geometry

Properties
* energy above the most stable polymorph in this dataset: 0.00 kcal/mol of atoms
* V: 32.5 Å³/atom
* DFT formation energy: 0.2293 eV/atom
* space-group type: P-1 (2)

a = 3.4485 Å, b = 10.6215 Å, c = 9.0839 Å
α = 85.20°, β = 101.02°, γ = 90.04°
With the nearest neighbours (Å) after each atom.
Element x y z (fractional)
Th 0.9616 0.7515 0.9222  4 Tm 3.20-3.36, 2 Tb 3.27-3.28, 4 Th 3.44-3.45
Tm 0.1474 0.7563 0.2987  2 Th 3.36-3.56, 5 Tm 3.45-3.71
Tm 0.1885 0.4078 0.3769  1 Th 3.28, 4 Tm 3.45-3.52
Tm 0.8526 0.2437 0.7013  2 Th 3.36-3.56, 5 Tm 3.45-3.71
Th 0.6821 0.0847 0.3657  6 Th 3.35-3.45, 1 Tb 3.46, 1 Tm 3.56
Tm 0.8115 0.5922 0.6231  1 Th 3.28, 4 Tm 3.45-3.52
Th 0.0384 0.2485 0.0778  4 Tm 3.20-3.36, 2 Tb 3.27-3.28, 4 Th 3.44-3.45
Th 0.3179 0.9153 0.6343  6 Th 3.35-3.45, 1 Tb 3.46, 1 Tm 3.56
Tb 0.5000 0.0000 0.0000  6 Th 3.27-3.46, 2 Tb 3.45
Tm 0.5000 0.5000 0.0000  4 Th 3.20-3.21, 2 Tm 3.45

***

Compound: ThMn3Ge2
Source: Alexandria via LeMat-Bulk
Functional: PBE
Structure: optimized geometry

Properties
* V: 16.7 Å³/atom
* DFT formation energy: -0.3373 eV/atom
* space-group type: C2/m (12)

a = 3.9989 Å, b = 7.7185 Å, c = 7.4100 Å
α = 114.09°, β = 90.00°, γ = 105.01°
With the nearest neighbours (Å) after each atom.
Element x y z (fractional)
Th 0.8535 0.7070 0.9368  7 Ge 3.02-3.15, 2 Mn 3.25-3.36
Mn 0.0421 0.0843 0.3927  5 Mn 2.41-2.70, 3 Ge 2.44-2.46
Ge 0.5228 0.0456 0.1916  4 Mn 2.44-2.51, 1 Ge 2.63
Ge 0.8041 0.6081 0.2997  6 Mn 2.46-2.60
Mn 0.6924 0.3847 0.4734  3 Mn 2.35-2.56, 4 Ge 2.50-2.60
Mn 0.9579 0.9157 0.6073  5 Mn 2.41-2.70, 3 Ge 2.44-2.46
Mn 0.4169 0.8339 0.3726  4 Mn 2.35-2.55, 3 Ge 2.47-2.52
Mn 0.5831 0.1661 0.6274  4 Mn 2.35-2.55, 3 Ge 2.47-2.52
Ge 0.1959 0.3919 0.7003  6 Mn 2.46-2.60
Ge 0.4772 0.9544 0.8084  4 Mn 2.44-2.51, 1 Ge 2.63
Th 0.1465 0.2930 0.0632  7 Ge 3.02-3.15, 2 Mn 3.25-3.36
Mn 0.3076 0.6153 0.5266  3 Mn 2.35-2.56, 4 Ge 2.50-2.60

***

Compound: Ni2HgW
Source: Alexandria via LeMat-Bulk
Functional: PBE
Structure: optimized geometry

Properties
* V: 14.8 Å³/atom
* DFT formation energy: 0.2037 eV/atom
* space-group type: Pmmm (47)

a = 3.4346 Å, b = 2.8109 Å, c = 6.7247 Å
α = 65.35°, β = 90.00°, γ = 90.00°
With the nearest neighbours (Å) after each atom.
Element x y z (fractional)
Ni 0.0000 0.9616 0.0373  4 W 2.57, 3 Ni 2.60-2.81, 4 Hg 2.83
Hg 0.5000 0.7500 0.7500  2 Hg 2.81, 8 Ni 2.83, 2 W 3.06
Ni 0.0000 0.5384 0.4627  4 W 2.57, 3 Ni 2.60-2.81, 4 Hg 2.83
W 0.5000 0.2500 0.2500  8 Ni 2.57, 2 W 2.81

***

Compound: PmEuN
Source: Alexandria via LeMat-Bulk
Functional: PBE
Structure: optimized geometry

Properties
* energy above the most stable polymorph in this dataset: 12.15 kcal/mol of atoms
* V: 20.0 Å³/atom
* space-group type: F-43m (216)

a = 4.3959 Å, b = 4.3959 Å, c = 4.3959 Å
α = 60.00°, β = 60.00°, γ = 60.00°
With the nearest neighbours (Å) after each atom.
Element x y z (fractional)
N 0.2500 0.2500 0.2500  4 Pm 2.69, 4 Eu 2.69
Eu 0.5000 0.5000 0.5000  4 N 2.69
Pm 0.0000 0.0000 0.0000  4 N 2.69